# LiV2BiO8 (PBE with a Hubbard U, optimized geometry)
data_LiV2BiO8
_chemical_formula_sum 'Li1 V2 Bi1 O8'
_cell_length_a 5.8900
_cell_length_b 5.8900
_cell_length_c 5.8900
_cell_angle_alpha 106.44
_cell_angle_beta 106.44
_cell_angle_gamma 115.71
_space_group_name_H-M_alt 'P 1'
_space_group_IT_number 1
loop_
_space_group_symop_operation_xyz
'x,y,z'
loop_
_atom_site_label
_atom_site_fract_x
_atom_site_fract_y
_atom_site_fract_z
_atom_site_occupancy
Li1 0.0000 0.0000 0.0000 1
V1 0.2500 0.7500 0.5000 1
V2 0.5000 0.5000 0.0000 1
Bi1 0.7500 0.2500 0.5000 1
O1 0.0682 0.3795 0.3113 1
O2 0.0682 0.7569 0.6887 1
O3 0.1349 0.3266 0.8083 1
O4 0.2431 0.9318 0.3113 1
O5 0.5182 0.3266 0.1917 1
O6 0.6205 0.9318 0.6887 1
O7 0.6734 0.4818 0.8083 1
O8 0.6734 0.8651 0.1917 1
# total DFT energy (no corrections)	-6.45	eV/atom
# crystal system	tetragonal
# V	155.9	Å³/f.u.
# density of states at the Fermi level	0.459	states/eV/atom